No. 1
Pm2Be4Ge3Os | GGA-PBE | optimized geometry

abc: 3.9345 3.9345 10.1070
angles: 90.00 90.00 90.00
Space group P-4m2 (No. 115)
Symmetry-distinct sites (fractional):
Pm: 0.0000 0.5000 0.2489 x2
Be: 0.0000 0.0000 0.0000 x1
Be: 0.0000 0.5000 0.6296 x2
Be: 0.5000 0.5000 0.0000 x1
Ge: 0.0000 0.5000 0.8686 x2
Ge: 0.5000 0.5000 0.5000 x1
Os: 0.0000 0.0000 0.5000 x1

- M_tot: 0.0 Bohr magnetons per cell
- Crystal system: tetragonal
- Density of states at the Fermi level: 4.01 states/eV/cell
- Raw total energy: -5.305 eV/atom

---

No. 2
BaSr2LaPd | GGA-PBE | optimized geometry

abc: 6.2402 6.2402 5.7225
angles: 90.00 90.00 90.00
Space group P4/mmm (No. 123)
Symmetry-distinct sites (fractional):
Ba: 0.0000 0.0000 0.0000 x1
Sr: 0.0000 0.5000 0.5000 x2
La: 0.5000 0.5000 0.0000 x1
Pd: 0.5000 0.5000 0.5000 x1

- M_tot: 0.0 Bohr magnetons per cell
- Crystal system: tetragonal
- Density of states at the Fermi level: 4.93 states/eV/cell
- E above lowest polymorph: 0.000 eV per atom
- Raw total energy: -3.328 eV/atom